Material: Y3HoTl3Se8
Method: DFT, PBE
State: relaxed

The value obtained for the raw formation energy is -1400 meV/atom. As for the space group: C2/m (12). For the calculated density, the calculation gives 6062 kg/m3. For the magnetic moment, the calculation gives 0.00 μB per formula unit.

POSCAR file:
```
Y3HoTl3Se8
1.0
8.3268 0.0000 0.0000
-4.1634 7.2119 -0.0264
0.0000 -4.7794 7.6648
Y Ho Tl Se
3 1 3 8
direct
0.5000 0.0000 0.5000
0.5000 0.5000 0.5000
0.0000 0.5000 0.5000
0.0000 0.0000 0.5000
0.0000 0.0000 0.0000
0.0000 0.5000 0.0000
0.5000 0.5000 0.0000
0.2635 0.5269 0.2917
0.7365 0.4731 0.7083
0.7651 0.5302 0.2934
0.2349 0.4698 0.7066
0.7649 0.0284 0.2941
0.2351 0.9716 0.7059
0.2635 0.0284 0.2941
0.7365 0.9716 0.7059
```

=====

Material: SrZr2Hg
Method: DFT, PBE
State: relaxed

As for the space group: P2/m (10). The calculation puts the formation energy at 0.22 eV/atom. For the calculated density, the calculation gives 7351 kg/m3. For the magnetic moment, the calculation gives 0.00 μB per formula unit.

POSCAR file:
```
SrZr2Hg
1.0
5.6423 0.0000 0.0000
0.0000 3.3705 -0.0034
0.0000 0.5973 5.5897
Hg Sr Zr
1 1 2
direct
0.5000 0.2500 0.2500
0.5000 0.7500 0.7500
0.0000 0.0671 0.0275
0.0000 0.4329 0.4725
```

=====

Material: DyP2Ru3
Method: DFT, PBE
State: relaxed

As for the space group: C2/m (12). The calculation puts the formation energy at -0.80 eV/atom. For the calculated density, the calculation gives 9419 kg/m3. For the magnetic moment, the calculation gives 0.00 μB per formula unit.

POSCAR file:
```
DyP2Ru3
1.0
3.9180 0.0000 0.0000
-1.9590 7.4359 -2.4572
0.0000 0.0119 9.5749
Dy P Ru
3 6 9
direct
0.1582 0.3164 0.6968
0.8418 0.6836 0.3032
0.0000 0.0000 0.0000
0.1970 0.3939 0.1332
0.8030 0.6061 0.8668
0.4609 0.9218 0.2196
0.5391 0.0782 0.7804
0.3606 0.7211 0.5492
0.6394 0.2789 0.4508
0.0399 0.0799 0.3289
0.9601 0.9201 0.6711
0.2174 0.4347 0.3916
0.7826 0.5653 0.6084
0.6227 0.2455 0.2008
0.3773 0.7545 0.7992
0.5000 0.0000 0.5000
0.3199 0.6399 0.0381
0.6801 0.3601 0.9619
```

=====

Material: La2AlTcN
Method: DFT, PBE
State: relaxed

The value obtained for the raw formation energy is -574 meV/atom. As for the space group: P4/mmm (123). For the calculated density, the calculation gives 6343 kg/m3. For the magnetic moment, the calculation gives 0.00 μB per formula unit.

POSCAR file:
```
La2AlTcN
1.0
5.2786 0.0000 0.0000
0.0000 5.2786 0.0000
0.0000 0.0000 3.9162
N Al Tc La
1 1 1 2
direct
0.0000 0.0000 0.0000
0.5000 0.5000 0.5000
0.0000 0.0000 0.5000
0.0000 0.5000 0.0000
0.5000 0.0000 0.0000
```

=====

Material: NdYOs4
Method: DFT, PBE
State: relaxed

As for the space group: F-43m (216). The calculation puts the formation energy at -0.16 eV/atom. For the calculated density, the calculation gives 14790 kg/m3. For the magnetic moment, the calculation gives 0.00 μB per formula unit.

POSCAR file:
```
NdYOs4
1.0
5.4043 0.0000 0.0000
2.7022 4.6803 0.0000
2.7022 1.5601 4.4126
Y Nd Os
1 1 4
direct
0.0000 0.0000 0.0000
0.2500 0.2500 0.2500
0.6252 0.6252 0.1245
0.6252 0.1245 0.6252
0.6252 0.6252 0.6252
0.1245 0.6252 0.6252
```

=====

Material: Pu8As5Se3
Method: DFT, PBE
State: relaxed

The value obtained for the raw formation energy is -1239 meV/atom. As for the space group: R-3m (166). For the calculated density, the calculation gives 10492 kg/m3. For the magnetic moment, the calculation gives 42.74 μB per formula unit.

POSCAR file:
```
Pu8As5Se3
1.0
7.2116 0.0000 4.1308
2.4227 6.7924 4.1308
0.0300 0.0211 8.3081
Pu As Se
8 5 3
direct
0.2500 0.2500 0.7533
0.2500 0.7467 0.7533
0.7467 0.2500 0.7533
0.7482 0.7482 0.7555
0.7500 0.7500 0.2467
0.7500 0.2533 0.2467
0.2533 0.7500 0.2467
0.2518 0.2518 0.2445
0.5000 0.0000 0.0000
0.5000 0.5000 0.0000
0.0000 0.0000 0.0000
0.0000 0.5000 0.0000
0.5000 0.5000 0.5000
0.5000 0.0000 0.5000
0.0000 0.0000 0.5000
0.0000 0.5000 0.5000
```